[1]
# CeTm4Al (PBE-GGA, optimized geometry)
# crystal system: orthorhombic
# space group: No. 36
# calculated formation energy: -0.04 eV/atom
# uncorrected energy: -4.64 eV per atom
data_CeTm4Al
_cell_length_a 5.225
_cell_length_b 10.740
_cell_length_c 6.514
_cell_angle_alpha 90.00
_cell_angle_beta 113.64
_cell_angle_gamma 90.00
_space_group_name_H-M_alt 'P 1'
_space_group_IT_number 1
_space_group_name_Hall 'P 1'
loop_
_atom_site_label
_atom_site_fract_x
_atom_site_fract_y
_atom_site_fract_z
Tm1 0.525 0.441 0.051
Tm2 0.181 0.945 0.361
Tm3 0.995 0.704 0.990
Tm4 0.322 0.660 0.644
Tm5 0.005 0.204 0.010
Tm6 0.475 0.941 0.949
Tm7 0.678 0.160 0.356
Tm8 0.819 0.445 0.639
Ce1 0.683 0.728 0.366
Ce2 0.317 0.228 0.634
Al1 0.849 0.955 0.699
Al2 0.151 0.455 0.301

[2]
# RbCaZnCl5 (PBE-GGA, optimized geometry)
# crystal system: monoclinic
# space group: No. 15
# uncorrected energy: -3.53 eV per atom
# energy relative to the elements, uncorrected: -1.842 eV per atom
data_RbCaZnCl5
_cell_length_a 7.608
_cell_length_b 7.608
_cell_length_c 9.917
_cell_angle_alpha 104.15
_cell_angle_beta 104.15
_cell_angle_gamma 105.89
_space_group_name_H-M_alt 'P 1'
_space_group_IT_number 1
_space_group_name_Hall 'P 1'
loop_
_atom_site_label
_atom_site_fract_x
_atom_site_fract_y
_atom_site_fract_z
Cl1 0.755 0.612 0.422
Cl2 0.921 0.079 0.750
Cl3 0.388 0.245 0.078
Cl4 0.245 0.388 0.578
Cl5 0.682 0.101 0.380
Cl6 0.612 0.755 0.922
Cl7 0.101 0.682 0.880
Cl8 0.318 0.899 0.620
Cl9 0.079 0.921 0.250
Cl10 0.899 0.318 0.120
Rb1 0.343 0.657 0.250
Rb2 0.657 0.343 0.750
Ca1 0.000 0.000 0.500
Ca2 0.000 0.000 0.000
Zn1 0.687 0.313 0.250
Zn2 0.313 0.687 0.750

[3]
# Fe3AsS (PBE-GGA, optimized geometry)
# crystal system: cubic
# energy above the most stable polymorph in this dataset: 54.0 kJ per mole of atoms
# space group: No. 221
# uncorrected energy: -5.94 eV per atom
# energy relative to the elements, uncorrected: 0.893 eV per atom
data_Fe3AsS
_cell_length_a 4.451
_cell_length_b 4.451
_cell_length_c 4.451
_cell_angle_alpha 90.00
_cell_angle_beta 90.00
_cell_angle_gamma 90.00
_space_group_name_H-M_alt 'P 1'
_space_group_IT_number 1
_space_group_name_Hall 'P 1'
loop_
_atom_site_label
_atom_site_fract_x
_atom_site_fract_y
_atom_site_fract_z
Fe1 0.000 0.000 0.500
Fe2 0.000 0.500 0.000
Fe3 0.500 0.000 0.000
S1 0.500 0.500 0.500
As1 0.000 0.000 0.000

[4]
# CdBr3 (PBE-GGA, optimized geometry)
# crystal system: orthorhombic
# space group: No. 25
# uncorrected energy: -1.76 eV per atom
# energy relative to the elements, uncorrected: -0.273 eV per atom
data_CdBr3
_cell_length_a 3.575
_cell_length_b 3.633
_cell_length_c 10.818
_cell_angle_alpha 90.00
_cell_angle_beta 90.00
_cell_angle_gamma 90.00
_space_group_name_H-M_alt 'P 1'
_space_group_IT_number 1
_space_group_name_Hall 'P 1'
loop_
_atom_site_label
_atom_site_fract_x
_atom_site_fract_y
_atom_site_fract_z
Cd1 0.000 0.500 0.307
Br1 0.500 0.000 0.441
Br2 0.000 0.000 0.125
Br3 0.500 0.500 0.793

[5]
# AcMnBi3 (PBE-GGA, optimized geometry)
# crystal system: cubic
# space group: No. 221
# calculated formation energy: -0.12 eV/atom
# uncorrected energy: -5.10 eV per atom
data_AcMnBi3
_cell_length_a 5.412
_cell_length_b 5.412
_cell_length_c 5.412
_cell_angle_alpha 90.00
_cell_angle_beta 90.00
_cell_angle_gamma 90.00
_space_group_name_H-M_alt 'P 1'
_space_group_IT_number 1
_space_group_name_Hall 'P 1'
loop_
_atom_site_label
_atom_site_fract_x
_atom_site_fract_y
_atom_site_fract_z
Bi1 0.000 0.500 0.000
Bi2 0.500 0.000 0.000
Bi3 0.000 0.000 0.500
Mn1 0.000 0.000 0.000
Ac1 0.500 0.500 0.500

[6]
# La3TmNi (PBE-GGA, optimized geometry)
# crystal system: cubic
# space group: No. 221
# calculated formation energy: 0.03 eV/atom
# uncorrected energy: -4.97 eV per atom
data_La3TmNi
_cell_length_a 5.528
_cell_length_b 5.528
_cell_length_c 5.528
_cell_angle_alpha 90.00
_cell_angle_beta 90.00
_cell_angle_gamma 90.00
_space_group_name_H-M_alt 'P 1'
_space_group_IT_number 1
_space_group_name_Hall 'P 1'
loop_
_atom_site_label
_atom_site_fract_x
_atom_site_fract_y
_atom_site_fract_z
Tm1 0.500 0.500 0.500
La1 0.000 0.500 0.000
La2 0.000 0.000 0.500
La3 0.500 0.000 0.000
Ni1 0.000 0.000 0.000

[7]
# Zn2CoIr (PBE-GGA, optimized geometry)
# crystal system: orthorhombic
# space group: No. 35
# calculated formation energy: 0.09 eV/atom
# uncorrected energy: -4.53 eV per atom
data_Zn2CoIr
_cell_length_a 2.682
_cell_length_b 2.682
_cell_length_c 8.720
_cell_angle_alpha 90.00
_cell_angle_beta 90.00
_cell_angle_gamma 117.92
_space_group_name_H-M_alt 'P 1'
_space_group_IT_number 1
_space_group_name_Hall 'P 1'
loop_
_atom_site_label
_atom_site_fract_x
_atom_site_fract_y
_atom_site_fract_z
Co1 0.000 0.000 0.499
Zn1 0.500 0.500 0.260
Zn2 0.000 0.000 0.999
Ir1 0.500 0.500 0.741

[8]
# Pm3Al6Pd20 (PBE-GGA, optimized geometry)
# crystal system: cubic
# space group: No. 225
# calculated formation energy: -0.76 eV/atom
# uncorrected energy: -5.60 eV per atom
data_Pm3Al6Pd20
_cell_length_a 8.851
_cell_length_b 8.851
_cell_length_c 8.851
_cell_angle_alpha 60.00
_cell_angle_beta 60.00
_cell_angle_gamma 60.00
_space_group_name_H-M_alt 'P 1'
_space_group_IT_number 1
_space_group_name_Hall 'P 1'
loop_
_atom_site_label
_atom_site_fract_x
_atom_site_fract_y
_atom_site_fract_z
Pd1 0.345 0.655 0.000
Pd2 0.381 0.381 0.856
Pd3 0.000 0.345 0.655
Pd4 0.381 0.856 0.381
Pd5 0.655 0.000 0.000
Pd6 0.655 0.345 0.000
Pd7 0.619 0.619 0.619
Pd8 0.000 0.655 0.000
Pd9 0.381 0.381 0.381
Pd10 0.619 0.144 0.619
Pd11 0.856 0.381 0.381
Pd12 0.345 0.000 0.655
Pd13 0.000 0.000 0.655
Pd14 0.000 0.655 0.345
Pd15 0.000 0.345 0.000
Pd16 0.655 0.000 0.345
Pd17 0.000 0.000 0.345
Pd18 0.619 0.619 0.144
Pd19 0.345 0.000 0.000
Pd20 0.144 0.619 0.619
Pm1 0.250 0.250 0.250
Pm2 0.750 0.750 0.750
Pm3 0.000 0.000 0.000
Al1 0.728 0.728 0.272
Al2 0.272 0.272 0.728
Al3 0.272 0.728 0.728
Al4 0.728 0.272 0.728
Al5 0.728 0.272 0.272
Al6 0.272 0.728 0.272